# 1
{
  "formula": "ZnWSe2",
  "functional": "meta-GGA SCAN",
  "state": "single point on PBEsol structure",
  "raw_formation_energy_ev_per_atom": 0.03,
  "lattice": [[4.862, -1.567, 0.000], [4.862, 1.567, 0.000], [-2.749, 0.000, 5.850]],
  "species": ["Zn", "W", "Se", "Se"],
  "fractional_positions": [[0.000, 0.000, 0.000], [0.722, 0.722, 0.995], [0.243, 0.243, 0.714], [0.402, 0.402, 0.276]]
}



# 2
{
  "formula": "ZnWSe",
  "functional": "meta-GGA SCAN",
  "state": "single point on PBEsol structure",
  "raw_formation_energy_ev_per_atom": 0.29,
  "lattice": [[-1.521, 1.521, 5.445], [1.521, -1.521, 5.445], [1.521, 1.521, -5.445]],
  "species": ["Zn", "W", "Se"],
  "fractional_positions": [[0.000, 0.000, 0.000], [0.343, 0.343, 0.000], [0.715, 0.715, 0.000]]
}



# 3
{
  "formula": "ZnWSe3",
  "functional": "meta-GGA SCAN",
  "state": "single point on PBEsol structure",
  "raw_formation_energy_ev_per_atom": 0.40,
  "lattice": [[4.887, 0.000, 0.000], [0.000, 4.887, 0.000], [0.000, 0.000, 4.887]],
  "species": ["Zn", "W", "Se", "Se", "Se"],
  "fractional_positions": [[0.000, 0.000, 0.000], [0.500, 0.500, 0.500], [0.000, 0.500, 0.500], [0.500, 0.000, 0.500], [0.500, 0.500, 0.000]]
}



The D(E_F) results, record by record, are as follows: 0.21; 0.26; 0.77 states/eV/atom.